A relaxed LiCa2Pr2 crystal. Source: Alexandria via LeMat-Bulk, functional PBE.

CIF file:
```
data_LiCa2Pr2
_cell_length_a 3.7943
_cell_length_b 3.7943
_cell_length_c 24.4343
_cell_angle_alpha 90.00
_cell_angle_beta 90.00
_cell_angle_gamma 90.00
_space_group_name_H-M_alt 'I 4/m m m'
_space_group_IT_number 139
_space_group_name_Hall '-I 4 2'
loop_
_atom_site_label
_atom_site_type_symbol
_atom_site_fract_x
_atom_site_fract_y
_atom_site_fract_z
_atom_site_occupancy
Li1 Li 0.0000 0.0000 0.0000 1
Ca1 Ca 0.0000 0.0000 0.4133 1
Pr1 Pr 0.0000 0.0000 0.2004 1
```

## Properties
The energy relative to the elements is 0.17 eV/f.u. Its total magnetic moment is 0.00 μB per formula unit. The value obtained for the electronic total energy is -3.0616 eV/atom.

---

A relaxed Li4CaPr crystal. Source: Alexandria via LeMat-Bulk, functional PBE.

CIF file:
```
data_Li4CaPr
_cell_length_a 8.5917
_cell_length_b 8.5917
_cell_length_c 8.5917
_cell_angle_alpha 90.00
_cell_angle_beta 90.00
_cell_angle_gamma 90.00
_space_group_name_H-M_alt 'F -4 3 m'
_space_group_IT_number 216
_space_group_name_Hall 'F -4 2 3'
loop_
_atom_site_label
_atom_site_type_symbol
_atom_site_fract_x
_atom_site_fract_y
_atom_site_fract_z
_atom_site_occupancy
Li1 Li 0.1248 0.1248 0.1248 1
Ca1 Ca 0.2500 0.2500 0.7500 1
Pr1 Pr 0.0000 0.0000 0.5000 1
```

## Properties
The energy relative to the elements is 0.38 eV/f.u. Its total magnetic moment is 0.00 μB per formula unit. The value obtained for the electronic total energy is -2.3432 eV/atom.

---

A relaxed LiCa2Pr crystal. Source: Alexandria via LeMat-Bulk, functional PBE.

CIF file:
```
data_LiCa2Pr
_cell_length_a 3.7643
_cell_length_b 3.7643
_cell_length_c 34.8698
_cell_angle_alpha 90.00
_cell_angle_beta 90.00
_cell_angle_gamma 120.00
_space_group_name_H-M_alt 'R 3 m'
_space_group_IT_number 160
_space_group_name_Hall 'R 3 -2"'
loop_
_atom_site_label
_atom_site_type_symbol
_atom_site_fract_x
_atom_site_fract_y
_atom_site_fract_z
_atom_site_occupancy
Li1 Li 0.0000 0.0000 0.0000 1
Ca1 Ca 0.0000 0.0000 0.4119 1
Ca2 Ca 0.0000 0.0000 0.5887 1
Pr1 Pr 0.0000 0.0000 0.8339 1
```

## Properties
The energy relative to the elements is 0.35 eV/f.u. Its total magnetic moment is 0.00 μB per formula unit. As for the offset from the most stable computed form: 0.07 eV per formula unit. The value obtained for the electronic total energy is -2.5858 eV/atom.

---

A relaxed Li2CaPrPt2 crystal. Source: Alexandria via LeMat-Bulk, functional PBE.

CIF file:
```
data_Li2CaPrPt2
_cell_length_a 4.3681
_cell_length_b 4.3681
_cell_length_c 7.6046
_cell_angle_alpha 90.00
_cell_angle_beta 90.00
_cell_angle_gamma 120.00
_space_group_name_H-M_alt 'P -3 m 1'
_space_group_IT_number 164
_space_group_name_Hall '-P 3 2"'
loop_
_atom_site_label
_atom_site_type_symbol
_atom_site_fract_x
_atom_site_fract_y
_atom_site_fract_z
_atom_site_occupancy
Li1 Li 0.3333 0.6667 0.2266 1
Ca1 Ca 0.0000 0.0000 0.0000 1
Pr1 Pr 0.0000 0.0000 0.5000 1
Pt1 Pt 0.3333 0.6667 0.7429 1
```

## Properties
The energy relative to the elements is -4.27 eV/f.u. Its total magnetic moment is 0.00 μB per formula unit. The value obtained for the electronic total energy is -4.4926 eV/atom.

---

A relaxed LiCaPrPt crystal. Source: Alexandria via LeMat-Bulk, functional PBE.

CIF file:
```
data_LiCaPrPt
_cell_length_a 7.2228
_cell_length_b 7.2228
_cell_length_c 7.2228
_cell_angle_alpha 90.00
_cell_angle_beta 90.00
_cell_angle_gamma 90.00
_space_group_name_H-M_alt 'F -4 3 m'
_space_group_IT_number 216
_space_group_name_Hall 'F -4 2 3'
loop_
_atom_site_label
_atom_site_type_symbol
_atom_site_fract_x
_atom_site_fract_y
_atom_site_fract_z
_atom_site_occupancy
Li1 Li 0.0000 0.0000 0.0000 1
Ca1 Ca 0.2500 0.2500 0.2500 1
Pr1 Pr 0.2500 0.2500 0.7500 1
Pt1 Pt 0.0000 0.0000 0.5000 1
```

## Properties
The energy relative to the elements is -2.17 eV/f.u. Its total magnetic moment is 0.00 μB per formula unit. The value obtained for the electronic total energy is -4.2276 eV/atom.

---

A relaxed LiCaPr2S4 crystal. Source: Alexandria via LeMat-Bulk, functional PBE.

CIF file:
```
data_LiCaPr2S4
_cell_length_a 3.9957
_cell_length_b 13.3401
_cell_length_c 14.1559
_cell_angle_alpha 90.00
_cell_angle_beta 90.00
_cell_angle_gamma 90.00
_space_group_name_H-M_alt 'C m c m'
_space_group_IT_number 63
_space_group_name_Hall '-C 2c 2'
loop_
_atom_site_label
_atom_site_type_symbol
_atom_site_fract_x
_atom_site_fract_y
_atom_site_fract_z
_atom_site_occupancy
Li1 Li 0.0000 0.1507 0.2500 1
Ca1 Ca 0.0000 0.1172 0.7500 1
Pr1 Pr 0.0000 0.3685 0.5589 1
S1 S 0.0000 0.0000 0.0000 1
S2 S 0.0000 0.2769 0.1269 1
S3 S 0.0000 0.4545 0.7500 1
```

## Properties
Its total magnetic moment is 0.00 μB per formula unit. The value obtained for the electronic total energy is -5.6137 eV/atom. The value obtained for the energy relative to the elements, uncorrected is -1865.7 meV per atom.

---

A relaxed LiCa3Pr2S6 crystal. Source: Alexandria via LeMat-Bulk, functional PBE.

CIF file:
```
data_LiCa3Pr2S6
_cell_length_a 6.9960
_cell_length_b 12.1134
_cell_length_c 7.0177
_cell_angle_alpha 90.00
_cell_angle_beta 109.39
_cell_angle_gamma 90.00
_space_group_name_H-M_alt 'C 1 2/m 1'
_space_group_IT_number 12
_space_group_name_Hall '-C 2y'
loop_
_atom_site_label
_atom_site_type_symbol
_atom_site_fract_x
_atom_site_fract_y
_atom_site_fract_z
_atom_site_occupancy
Li1 Li 0.0000 0.0000 0.0000 1
Ca1 Ca 0.0000 0.1656 0.5000 1
Ca2 Ca 0.0000 0.5000 0.5000 1
Pr1 Pr 0.0000 0.3332 0.0000 1
S1 S 0.2461 0.0000 0.7494 1
S2 S 0.2490 0.1650 0.2520 1
```

## Properties
Its total magnetic moment is 0.00 μB per formula unit. The value obtained for the electronic total energy is -5.5033 eV/atom. The value obtained for the energy relative to the elements, uncorrected is -1983.1 meV per atom.

---

A relaxed LiCa2PrS4 crystal. Source: Alexandria via LeMat-Bulk, functional PBE.

CIF file:
```
data_LiCa2PrS4
_cell_length_a 6.8876
_cell_length_b 4.0745
_cell_length_c 6.9826
_cell_angle_alpha 90.00
_cell_angle_beta 108.78
_cell_angle_gamma 90.00
_space_group_name_H-M_alt 'P 1 2/m 1'
_space_group_IT_number 10
_space_group_name_Hall '-P 2y'
loop_
_atom_site_label
_atom_site_type_symbol
_atom_site_fract_x
_atom_site_fract_y
_atom_site_fract_z
_atom_site_occupancy
Li1 Li 0.0000 0.0000 0.0000 1
Ca1 Ca 0.0000 0.5000 0.5000 1
Ca2 Ca 0.5000 0.0000 0.5000 1
Pr1 Pr 0.5000 0.5000 0.0000 1
S1 S 0.2462 0.0000 0.7529 1
S2 S 0.2512 0.5000 0.2519 1
```

## Properties
Its total magnetic moment is 0.00 μB per formula unit. The value obtained for the electronic total energy is -5.3380 eV/atom. The value obtained for the energy relative to the elements, uncorrected is -1937.2 meV per atom.

---

Repeat the sixth record exactly.
A relaxed LiCaPr2S4 crystal. Source: Alexandria via LeMat-Bulk, functional PBE.

CIF file:
```
data_LiCaPr2S4
_cell_length_a 3.9957
_cell_length_b 13.3401
_cell_length_c 14.1559
_cell_angle_alpha 90.00
_cell_angle_beta 90.00
_cell_angle_gamma 90.00
_space_group_name_H-M_alt 'C m c m'
_space_group_IT_number 63
_space_group_name_Hall '-C 2c 2'
loop_
_atom_site_label
_atom_site_type_symbol
_atom_site_fract_x
_atom_site_fract_y
_atom_site_fract_z
_atom_site_occupancy
Li1 Li 0.0000 0.1507 0.2500 1
Ca1 Ca 0.0000 0.1172 0.7500 1
Pr1 Pr 0.0000 0.3685 0.5589 1
S1 S 0.0000 0.0000 0.0000 1
S2 S 0.0000 0.2769 0.1269 1
S3 S 0.0000 0.4545 0.7500 1
```

## Properties
Its total magnetic moment is 0.00 μB per formula unit. The value obtained for the electronic total energy is -5.6137 eV/atom. The value obtained for the energy relative to the elements, uncorrected is -1865.7 meV per atom.

---

What did the first record say?
A relaxed LiCa2Pr2 crystal. Source: Alexandria via LeMat-Bulk, functional PBE.

CIF file:
```
data_LiCa2Pr2
_cell_length_a 3.7943
_cell_length_b 3.7943
_cell_length_c 24.4343
_cell_angle_alpha 90.00
_cell_angle_beta 90.00
_cell_angle_gamma 90.00
_space_group_name_H-M_alt 'I 4/m m m'
_space_group_IT_number 139
_space_group_name_Hall '-I 4 2'
loop_
_atom_site_label
_atom_site_type_symbol
_atom_site_fract_x
_atom_site_fract_y
_atom_site_fract_z
_atom_site_occupancy
Li1 Li 0.0000 0.0000 0.0000 1
Ca1 Ca 0.0000 0.0000 0.4133 1
Pr1 Pr 0.0000 0.0000 0.2004 1
```

## Properties
The energy relative to the elements is 0.17 eV/f.u. Its total magnetic moment is 0.00 μB per formula unit. The value obtained for the electronic total energy is -3.0616 eV/atom.

---

Q: Which formula does entry 5 have?
A: LiCaPrPt

---

Please write out number 8 again, unchanged.
A relaxed LiCa2PrS4 crystal. Source: Alexandria via LeMat-Bulk, functional PBE.

CIF file:
```
data_LiCa2PrS4
_cell_length_a 6.8876
_cell_length_b 4.0745
_cell_length_c 6.9826
_cell_angle_alpha 90.00
_cell_angle_beta 108.78
_cell_angle_gamma 90.00
_space_group_name_H-M_alt 'P 1 2/m 1'
_space_group_IT_number 10
_space_group_name_Hall '-P 2y'
loop_
_atom_site_label
_atom_site_type_symbol
_atom_site_fract_x
_atom_site_fract_y
_atom_site_fract_z
_atom_site_occupancy
Li1 Li 0.0000 0.0000 0.0000 1
Ca1 Ca 0.0000 0.5000 0.5000 1
Ca2 Ca 0.5000 0.0000 0.5000 1
Pr1 Pr 0.5000 0.5000 0.0000 1
S1 S 0.2462 0.0000 0.7529 1
S2 S 0.2512 0.5000 0.2519 1
```

## Properties
Its total magnetic moment is 0.00 μB per formula unit. The value obtained for the electronic total energy is -5.3380 eV/atom. The value obtained for the energy relative to the elements, uncorrected is -1937.2 meV per atom.